Ta2NiMo (PBEsol, relaxed); symmetry = R3m; formation energy = 0.2442 eV per atom
1.0
2.781 0.000 0.000
1.390 2.408 0.000
1.390 0.803 9.303
Ni Ta Mo
1 2 1
direct
0.249 0.249 0.254 Ni
0.992 0.992 0.025 Ta
0.752 0.752 0.745 Ta
0.508 0.508 0.476 Mo

***

TaNiMo2 (PBEsol, relaxed); symmetry = Pmmm; formation energy = 0.2155 eV per atom
1.0
-0.430 -1.496 -2.100
3.915 -0.602 -0.372
-0.388 -4.601 3.358
Mo Ta Ni
2 1 1
direct
0.000 0.000 0.227 Mo
0.000 0.000 0.773 Mo
0.500 0.500 0.500 Ta
0.500 0.500 0.000 Ni

***

Ta2NiMo (PBEsol, relaxed); symmetry = Pm; formation energy = 0.0503 eV per atom
1.0
-1.999 1.531 1.012
-2.376 -3.719 0.931
2.747 -0.696 4.233
Ta Mo Ni
2 1 1
direct
0.008 0.000 0.987 Ta
0.744 0.500 0.262 Ta
0.489 0.000 0.486 Mo
0.258 0.500 0.765 Ni

***

TaNiMo2 (PBEsol, relaxed); symmetry = P4/mmm; formation energy = 0.0319 eV per atom
1.0
3.704 0.000 0.000
0.000 3.704 0.000
0.000 0.000 4.278
Ta Ni Mo
1 1 2
direct
0.000 0.000 0.500 Ta
0.500 0.500 0.500 Ni
0.000 0.500 0.000 Mo
0.500 0.000 0.000 Mo

***

Tc2NiMo (PBEsol, relaxed); symmetry = Fm-3m; formation energy = 0.1725 eV per atom
1.0
4.246 0.000 0.000
2.123 3.677 0.000
2.123 1.226 3.467
Ni Tc Mo
1 2 1
direct
0.500 0.500 0.500 Ni
0.250 0.250 0.250 Tc
0.750 0.750 0.750 Tc
0.000 0.000 0.000 Mo

***

TcNiMo2 (PBEsol, relaxed); symmetry = I4/mmm; formation energy = 0.0327 eV per atom
1.0
3.843 0.000 0.000
0.000 3.843 0.000
-1.921 -1.921 3.713
Mo Tc Ni
2 1 1
direct
0.250 0.750 0.500 Mo
0.750 0.250 0.500 Mo
0.000 0.000 0.000 Tc
0.500 0.500 0.000 Ni

***

TcNi4Mo (PBEsol, relaxed); symmetry = F-43m; formation energy = -0.0223 eV per atom
1.0
4.613 0.000 0.000
2.306 3.995 0.000
2.306 1.332 3.766
Tc Ni Mo
1 4 1
direct
0.250 0.250 0.250 Tc
0.625 0.625 0.625 Ni
0.625 0.126 0.625 Ni
0.126 0.625 0.625 Ni
0.625 0.625 0.126 Ni
0.000 0.000 0.000 Mo

***

TcNi2Mo (PBEsol, relaxed); symmetry = I4/mmm; formation energy = -0.0168 eV per atom
1.0
-1.867 -1.314 2.810
2.861 -1.995 0.968
0.755 4.499 0.274
Tc Mo Ni
1 1 2
direct
0.500 0.500 0.000 Tc
0.000 0.000 0.000 Mo
0.250 0.750 0.500 Ni
0.750 0.250 0.500 Ni

***

TcNiMo2 (PBEsol, relaxed); symmetry = P4/mmm; formation energy = 0.0085 eV per atom
1.0
-2.649 0.517 -2.628
1.126 -3.181 -1.760
-2.461 -2.023 2.082
Mo Ni Tc
2 1 1
direct
0.000 0.500 0.000 Mo
0.000 0.000 0.500 Mo
0.500 0.500 0.500 Ni
0.500 0.000 0.000 Tc

***

Tc2NiMo (PBEsol, relaxed); symmetry = P4/mmm; formation energy = -0.0263 eV per atom
1.0
3.773 0.000 0.000
0.000 3.773 0.000
0.000 0.000 3.741
Tc Mo Ni
2 1 1
direct
0.500 0.000 0.000 Tc
0.000 0.500 0.000 Tc
0.500 0.500 0.500 Mo
0.000 0.000 0.500 Ni

***

TcNiMo (PBEsol, relaxed); symmetry = Imm2; formation energy = 0.0686 eV per atom
1.0
-1.667 -1.173 1.489
2.875 -0.809 2.582
-1.338 4.443 -0.137
Tc Mo Ni
1 1 1
direct
0.674 0.674 0.347 Tc
0.996 0.996 0.992 Mo
0.330 0.330 0.661 Ni

***

TcNi2Mo (PBEsol, relaxed); symmetry = P4/mmm; formation energy = -0.0263 eV per atom
1.0
3.613 0.000 0.000
0.000 3.613 0.000
0.000 0.000 3.798
Ni Mo Tc
2 1 1
direct
0.000 0.500 0.000 Ni
0.500 0.000 0.000 Ni
0.000 0.000 0.500 Mo
0.500 0.500 0.500 Tc

***

TcNi2Mo (PBEsol, relaxed); symmetry = Pm; formation energy = -0.0654 eV per atom
1.0
2.529 0.000 -0.117
0.000 4.069 0.000
-0.680 0.000 4.839
Ni Mo Tc
2 1 1
direct
0.921 0.500 0.257 Ni
0.830 0.000 0.998 Ni
0.247 0.500 0.783 Mo
0.502 0.000 0.461 Tc

***

Tc2NiMo (PBEsol, relaxed); symmetry = I-4m2; formation energy = 0.0076 eV per atom
1.0
3.786 0.000 0.000
0.000 3.786 0.000
-1.893 -1.893 3.732
Tc Mo Ni
2 1 1
direct
0.500 0.500 0.000 Tc
0.250 0.750 0.500 Tc
0.000 0.000 0.000 Mo
0.750 0.250 0.500 Ni

***

NiTe2Mo (PBEsol, relaxed); symmetry = R-3m; formation energy (no corrections) = 0.615 eV per atom
1.0
3.344 0.000 0.000
1.672 2.896 0.000
1.672 0.965 8.432
Te Mo Ni
2 1 1
direct
0.898 0.898 0.306 Te
0.102 0.102 0.694 Te
0.000 0.000 0.000 Mo
0.500 0.500 0.500 Ni

***

NiTe2Mo (PBEsol, relaxed); symmetry = Immm; formation energy (no corrections) = 0.348 eV per atom
1.0
-1.218 -1.974 3.076
3.869 1.485 2.485
-3.298 3.354 -1.567
Mo Ni Te
1 1 2
direct
0.000 0.500 0.000 Mo
0.500 0.000 0.000 Ni
0.789 0.789 0.579 Te
0.211 0.211 0.421 Te

***

NiTe2Mo (PBEsol, relaxed); symmetry = P4/mmm; formation energy (no corrections) = 0.340 eV per atom
1.0
-0.774 2.731 -1.744
-0.145 -2.504 -3.856
-4.470 -0.820 0.701
Te Ni Mo
2 1 1
direct
0.000 0.500 0.500 Te
0.000 0.000 0.000 Te
0.500 0.000 0.500 Ni
0.500 0.500 0.000 Mo

***

TlNiMo2 (PBEsol, relaxed); symmetry = I4/mmm; formation energy = 0.3690 eV per atom
1.0
-2.473 1.066 -2.605
-2.768 -1.553 1.992
2.022 4.018 2.418
Mo Ni Tl
2 1 1
direct
0.750 0.250 0.500 Mo
0.250 0.750 0.500 Mo
0.500 0.500 0.000 Ni
0.000 0.000 0.000 Tl

***

TlNiMo2 (PBEsol, relaxed); symmetry = Pmm2; formation energy = 0.4876 eV per atom
1.0
-0.185 2.706 -0.309
-0.979 0.371 3.830
5.634 0.543 1.388
Mo Tl Ni
2 1 1
direct
0.000 0.000 0.028 Mo
0.500 0.500 0.258 Mo
0.500 0.500 0.738 Tl
0.000 0.000 0.477 Ni

***

TlNiMo2 (PBEsol, relaxed); symmetry = Fm-3m; formation energy = 0.7301 eV per atom
1.0
-3.615 0.380 -2.567
-1.615 -3.569 -2.111
-3.854 -1.801 1.304
Mo Tl Ni
2 1 1
direct
0.750 0.750 0.750 Mo
0.250 0.250 0.250 Mo
0.500 0.500 0.500 Tl
0.000 0.000 0.000 Ni

***

TlNi2Mo (PBEsol, relaxed); symmetry = P4/mmm; formation energy = 0.2387 eV per atom
1.0
2.803 0.000 0.000
0.000 2.803 0.000
0.000 0.000 7.297
Ni Tl Mo
2 1 1
direct
0.000 0.000 0.729 Ni
0.000 0.000 0.271 Ni
0.500 0.500 0.000 Tl
0.500 0.500 0.500 Mo

***

ZnNiMo2 (PBEsol, relaxed); symmetry = R3m; formation energy = 0.1766 eV per atom
1.0
2.686 0.000 0.000
1.343 2.326 0.000
1.343 0.775 8.849
Zn Ni Mo
1 1 2
direct
0.243 0.243 0.270 Zn
0.501 0.501 0.496 Ni
0.757 0.757 0.729 Mo
0.998 0.998 0.005 Mo

***

ZnNiMo2 (PBEsol, relaxed); symmetry = R-3m; formation energy = 0.2042 eV per atom
1.0
-0.836 -2.496 -0.438
0.259 -1.088 -2.423
7.878 -4.293 1.300
Zn Ni Mo
1 1 2
direct
0.000 0.000 0.000 Zn
0.500 0.500 0.500 Ni
0.246 0.246 0.262 Mo
0.754 0.754 0.738 Mo

***

ZnNiMo2 (PBEsol, relaxed); symmetry = I-4m2; formation energy = 0.1347 eV per atom
1.0
3.732 0.000 0.000
0.000 3.732 0.000
-1.866 -1.866 3.900
Ni Mo Zn
1 2 1
direct
0.500 0.500 0.000 Ni
0.750 0.250 0.500 Mo
0.000 0.000 0.000 Mo
0.250 0.750 0.500 Zn

***

ZnNi2Mo (PBEsol, relaxed); symmetry = Pm; formation energy = -0.0441 eV per atom
1.0
2.553 0.000 -0.066
0.000 4.053 0.000
-1.209 0.000 4.760
Mo Ni Zn
1 2 1
direct
0.202 0.500 0.790 Mo
0.801 0.000 0.982 Ni
0.956 0.500 0.275 Ni
0.541 0.000 0.453 Zn

***

ZnNi2Mo (PBEsol, relaxed); symmetry = C2/m; formation energy = 0.0228 eV per atom
1.0
-0.163 1.508 2.065
-0.869 -4.068 1.312
4.641 -0.158 0.482
Ni Zn Mo
2 1 1
direct
0.747 0.495 0.758 Ni
0.253 0.505 0.242 Ni
0.000 0.000 0.500 Zn
0.500 0.000 0.000 Mo

***

ZnNi2Mo (PBEsol, relaxed); symmetry = P4/mmm; formation energy = -0.1650 eV per atom
1.0
-0.554 -2.460 -0.712
0.577 -0.829 2.418
-6.698 0.951 1.924
Mo Zn Ni
1 1 2
direct
0.500 0.500 0.500 Mo
0.500 0.500 0.000 Zn
0.000 0.000 0.239 Ni
0.000 0.000 0.761 Ni

***

ZnNi2Mo (PBEsol, relaxed); symmetry = Cmmm; formation energy = 0.0087 eV per atom
1.0
2.582 0.037 0.048
-0.065 4.398 0.170
-0.065 -0.954 4.297
Mo Ni Zn
1 2 1
direct
0.500 0.000 0.000 Mo
0.000 0.000 0.500 Ni
0.000 0.500 0.000 Ni
0.500 0.500 0.500 Zn

***

ZnNiMo2 (PBEsol, relaxed); symmetry = P4/mmm; formation energy = 0.1850 eV per atom
1.0
3.235 0.000 0.000
0.000 3.235 0.000
0.000 0.000 5.233
Zn Ni Mo
1 1 2
direct
0.500 0.500 0.500 Zn
0.500 0.500 0.000 Ni
0.000 0.000 0.225 Mo
0.000 0.000 0.775 Mo

***

ZnNiMo (PBEsol, relaxed); symmetry = P3m1; formation energy = 0.0907 eV per atom
1.0
2.656 0.000 0.000
-1.328 2.300 0.000
0.000 0.000 6.463
Mo Ni Zn
1 1 1
direct
0.000 0.000 0.984 Mo
0.333 0.667 0.664 Ni
0.667 0.333 0.351 Zn

***

no.,N(E_F) (states/eV per atom)
1,1.062
2,1.072
3,0.940
4,1.064
5,1.411
6,0.712
7,1.158
8,1.294
9,0.655
10,0.765
11,1.114
12,1.203
13,0.570
14,0.698
15,1.407
16,0.671
17,0.855
18,0.695
19,0.759
20,1.208
21,0.806
22,1.019
23,0.890
24,0.843
25,0.737
26,0.674
27,0.775
28,0.871
29,0.768
30,0.757